# 1
VCr2HAu: optimized geometry, PBE.

Results
symmetry: P4/mmm
total DFT energy (no corrections): -34.5 eV per formula unit

```
VCr2HAu
1.0
3.803 0.000 0.000
0.000 3.803 0.000
0.000 0.000 3.852
V Cr H Au
1 2 1 1
Direct
0.000 0.000 0.000
0.000 0.500 0.500
0.500 0.000 0.500
0.000 0.000 0.500
0.500 0.500 0.000
```

=====

# 2
Tb2PmTe4: optimized geometry, PBE.

Results
symmetry: C2/m
ΔE_f (raw): -1.40 eV/atom
energy above the lowest structure with this stoichiometry: 0 meV/atom

```
Tb2PmTe4
1.0
8.313 -2.195 0.000
8.313 2.195 0.000
-3.444 0.000 6.791
Tb Pm Te
2 1 4
Direct
0.244 0.244 0.232
0.756 0.756 0.768
0.500 0.500 0.500
0.132 0.132 0.470
0.375 0.375 0.043
0.625 0.625 0.957
0.868 0.868 0.530
```

=====

# 3
Pm4Nd2Er5: optimized geometry, PBE.

Results
symmetry: C2/m
ΔH_f (0 K): 1.3 eV per formula unit
energy above the lowest structure with this stoichiometry: 67 meV/atom

```
Pm4Nd2Er5
1.0
5.591 -3.727 0.000
5.591 3.727 0.000
-2.764 0.000 8.832
Pm Nd Er
4 2 5
Direct
0.176 0.176 0.126
0.181 0.181 0.498
0.819 0.819 0.502
0.824 0.824 0.874
0.356 0.356 0.873
0.644 0.644 0.127
0.152 0.714 0.220
0.286 0.848 0.780
0.500 0.500 0.500
0.714 0.152 0.220
0.848 0.286 0.780
```

=====

# 4
Mg2ScSnC: optimized geometry, PBE.

Results
symmetry: P4/mmm
ΔH_f (0 K): -1.2 eV per formula unit
energy above the lowest structure with this stoichiometry: 0 meV/atom

```
Mg2ScSnC
1.0
4.443 0.000 0.000
0.000 4.443 0.000
0.000 0.000 4.569
Mg Sc Sn C
2 1 1 1
Direct
0.000 0.500 0.000
0.500 0.000 0.000
0.000 0.000 0.500
0.500 0.500 0.500
0.000 0.000 0.000
```

=====

no.,volume (A^3/atom),spin magnetization (μB per cell)
1,11.1,0.0
2,35.4,0.0
3,33.5,0.0
4,18.0,0.0